# 1
DFT (GGA-PBE) results for Ga2SeO after structural relaxation.

DFT total energy, eV per atom: -3.7347
ΔE_f (raw), meV per atom: -111

a = 4.4654 Å, b = 4.4654 Å, c = 4.4654 Å
α = 60.00°, β = 60.00°, γ = 60.00°
Fractional coordinates of all 4 atoms:
Ga: 0.2500 0.2500 0.2500
Ga: 0.7500 0.7500 0.7500
O: 0.0000 0.0000 0.0000
Se: 0.5000 0.5000 0.5000

---

# 2
DFT (GGA-PBE) results for LuPuCl2 after structural relaxation.

DFT total energy, eV per atom: -6.5650
ΔE_f (raw), meV per atom: -928

a = 3.9941 Å, b = 3.9941 Å, c = 6.5006 Å
α = 72.11°, β = 72.11°, γ = 60.00°
Fractional coordinates of all 4 atoms:
Pu: 0.5000 0.5000 0.5000
Lu: 0.0000 0.0000 0.0000
Cl: 0.7442 0.7442 0.7674
Cl: 0.2558 0.2558 0.2326

---

# 3
DFT (GGA-PBE) results for Cd2Ga15Pb2 after structural relaxation.

DFT total energy, eV per atom: -2.8264
Energy of formation from the pure elements, meV/atom: 50

a = 7.4637 Å, b = 7.4637 Å, c = 7.4637 Å
α = 80.43°, β = 80.43°, γ = 80.43°
Fractional coordinates of all 19 atoms:
Ga: 0.5000 0.0000 0.0000
Ga: 0.6232 0.6232 0.1502
Ga: 0.0000 0.2919 0.7081
Ga: 0.7081 0.0000 0.2919
Ga: 0.3768 0.8498 0.3768
Ga: 0.7081 0.2919 0.0000
Ga: 0.0000 0.7081 0.2919
Ga: 0.0000 0.5000 0.0000
Ga: 0.1502 0.6232 0.6232
Ga: 0.6232 0.1502 0.6232
Ga: 0.3768 0.3768 0.8498
Ga: 0.8498 0.3768 0.3768
Ga: 0.2919 0.7081 0.0000
Ga: 0.0000 0.0000 0.5000
Ga: 0.2919 0.0000 0.7081
Pb: 0.3319 0.3319 0.3319
Pb: 0.6681 0.6681 0.6681
Cd: 0.1079 0.1079 0.1079
Cd: 0.8921 0.8921 0.8921